Entry 1:
DyCdAu2 | GGA-PBE | optimized geometry

Values from the calculation:
ΔE_f, eV per atom: -0.472

The structure in POSCAR format:
```
DyCdAu2
1.0
4.106 0.000 0.000
2.053 3.556 0.000
2.053 1.185 6.822
Dy Cd Au
1 1 2
Direct
0.668 0.668 0.996
0.498 0.498 0.506
0.086 0.086 0.743
0.248 0.248 0.256
```


Entry 2:
NbAs2Pt | GGA-PBE | optimized geometry

Values from the calculation:
ΔE_f, eV per atom: 0.025

The structure in POSCAR format:
```
NbAs2Pt
1.0
5.865 0.000 0.000
0.000 5.865 0.000
2.933 2.933 5.449
Nb As Pt
2 4 2
Direct
0.500 0.500 0.000
0.250 0.750 0.500
0.636 0.125 0.250
0.114 0.625 0.250
0.375 0.364 0.750
0.875 0.886 0.750
0.000 0.000 0.000
0.750 0.250 0.500
```


Entry 3:
ZnPbW2 | GGA-PBE | optimized geometry

Values from the calculation:
ΔE_f, eV per atom: 0.558
Energy above the most stable polymorph in this dataset, kJ per mole of atoms: 4.9

The structure in POSCAR format:
```
ZnPbW2
1.0
-2.854 0.068 0.686
0.589 -2.021 -2.047
1.527 -6.659 7.012
Pb W Zn
1 2 1
Direct
0.500 0.500 0.765
0.000 0.000 0.035
0.500 0.500 0.241
0.000 0.000 0.459
```


Entry 4:
KCu2Sn2 | GGA-PBE | optimized geometry

Values from the calculation:
ΔE_f, eV per atom: 0.088
Energy above the most stable polymorph in this dataset, kJ per mole of atoms: 10.3

The structure in POSCAR format:
```
KCu2Sn2
1.0
8.567 0.000 0.000
0.000 8.567 0.000
0.000 0.000 2.984
K Sn Cu
2 4 4
Direct
0.000 0.000 0.000
0.500 0.500 0.000
0.144 0.644 0.500
0.644 0.856 0.500
0.856 0.356 0.500
0.356 0.144 0.500
0.359 0.859 0.000
0.859 0.641 0.000
0.641 0.141 0.000
0.141 0.359 0.000
```


Entry 5:
Cu2Te3As | GGA-PBE | optimized geometry

Values from the calculation:
Raw formation energy, kJ per mole of atoms: 0.4

The structure in POSCAR format:
```
Cu2Te3As
1.0
-2.700 6.228 3.066
-0.927 -5.787 4.596
13.491 2.190 1.558
Cu Te As
8 12 4
Direct
0.074 0.235 0.331
0.408 0.592 0.000
0.765 0.926 0.669
0.494 0.155 0.169
0.845 0.506 0.831
0.158 0.842 0.500
0.912 0.088 0.000
0.662 0.338 0.500
0.490 0.390 0.857
0.799 0.711 0.510
0.122 0.061 0.163
0.939 0.878 0.837
0.289 0.201 0.490
0.610 0.510 0.143
0.040 0.451 0.990
0.383 0.783 0.643
0.709 0.148 0.337
0.217 0.617 0.357
0.549 0.960 0.010
0.852 0.291 0.663
0.245 0.403 0.663
0.597 0.755 0.337
0.010 0.668 0.163
0.332 0.990 0.837
```


Entry 6:
InHgPb2 | GGA-PBE | optimized geometry

Values from the calculation:
ΔE_f, eV per atom: 0.016
Energy above the most stable polymorph in this dataset, kJ per mole of atoms: 1.1

The structure in POSCAR format:
```
InHgPb2
1.0
-0.309 1.471 3.079
3.117 -3.312 1.895
5.286 4.146 -1.449
Pb Hg In
2 1 1
Direct
0.000 0.000 0.995
0.500 0.500 0.257
0.000 0.000 0.511
0.500 0.500 0.736
```


Entry 7:
FeOsW2 | GGA-PBE | optimized geometry

Values from the calculation:
ΔE_f, eV per atom: 0.194
Energy above the most stable polymorph in this dataset, kJ per mole of atoms: 8.1

The structure in POSCAR format:
```
FeOsW2
1.0
-0.718 1.669 -4.941
2.761 -4.145 0.670
-1.740 -1.821 -1.028
Fe Os W
1 1 2
Direct
0.000 0.500 0.500
0.500 0.500 0.000
0.000 0.000 0.000
0.500 0.000 0.500
```


Entry 8:
Tl2Sn5Au4 | GGA-PBE | optimized geometry

Values from the calculation:
ΔE_f, eV per atom: -0.079

The structure in POSCAR format:
```
Tl2Sn5Au4
1.0
-0.778 -2.894 -6.431
-1.450 -3.588 5.947
-5.586 4.696 -0.040
Tl Sn Au
2 5 4
Direct
0.182 0.182 0.259
0.854 0.854 0.671
0.685 0.220 0.519
0.072 0.607 0.031
0.608 0.608 0.948
0.607 0.072 0.031
0.220 0.685 0.519
0.131 0.362 0.721
0.758 0.520 0.290
0.520 0.758 0.290
0.362 0.131 0.721
```


Entry 9:
LaNb4O8 | GGA-PBE | optimized geometry

Values from the calculation:
Raw formation energy, kJ per mole of atoms: -231.5

The structure in POSCAR format:
```
LaNb4O8
1.0
5.267 0.000 -2.842
-3.400 4.925 0.000
0.385 0.266 7.016
La Nb O
1 4 8
Direct
0.000 0.500 0.500
0.000 0.000 0.000
0.000 0.500 0.000
0.500 0.500 0.000
0.500 0.000 0.000
0.463 0.731 0.194
0.537 0.269 0.806
0.479 0.240 0.215
0.025 0.264 0.785
0.521 0.760 0.785
0.025 0.760 0.785
0.975 0.240 0.215
0.975 0.736 0.215
```


Entry 10:
SrBe2HBr | GGA-PBE | optimized geometry

The structure in POSCAR format:
```
SrBe2HBr
1.0
4.408 0.000 0.000
0.000 5.971 0.000
0.000 0.000 4.408
Sr H Br Be
1 1 1 2
Direct
0.500 0.500 0.500
0.000 0.500 0.000
0.000 0.000 0.000
0.000 0.000 0.500
0.500 0.000 0.000
```


Entry 11:
Pr4Th2Pb3N2 | GGA-PBE | optimized geometry

Values from the calculation:
Raw formation energy, kJ per mole of atoms: -75.4

The structure in POSCAR format:
```
Pr4Th2Pb3N2
1.0
4.917 0.000 0.000
0.000 4.917 0.000
-2.458 -2.458 13.302
Pr Th Pb N
4 2 3 2
Direct
0.418 0.918 0.835
0.918 0.418 0.835
0.082 0.582 0.165
0.582 0.082 0.165
0.309 0.309 0.618
0.691 0.691 0.382
0.000 0.000 0.000
0.180 0.180 0.360
0.820 0.820 0.640
0.391 0.391 0.781
0.609 0.609 0.219
```


Entry 12:
Re2Ir3Rh8 | GGA-PBE | optimized geometry

Values from the calculation:
ΔE_f, eV per atom: 0.380

The structure in POSCAR format:
```
Re2Ir3Rh8
1.0
5.610 4.571 1.622
-5.758 2.266 -4.087
-2.108 1.282 3.681
Re Ir Rh
2 3 8
Direct
0.219 0.781 0.500
0.781 0.219 0.500
0.000 0.000 0.500
0.259 0.259 0.000
0.741 0.741 0.000
0.650 0.350 0.000
0.350 0.650 0.000
0.137 0.863 0.000
0.863 0.137 0.000
0.580 0.815 0.500
0.185 0.420 0.500
0.815 0.580 0.500
0.420 0.185 0.500
```


Total moment: 0.000, 0.000, 0.000, 0.000, 0.000, 0.000, 0.675, 0.000, 0.000, 0.000, 0.000, 0.000 (μB/atom)
Calculated total energy: -3.49, -6.33, -7.16, -3.37, -3.71, -2.60, -11.21, -3.52, -8.93, -1.94, -6.39, -8.10 (eV per atom)